Record 1
VASP calculation (GGA-PBE) on a relaxed structure of LaUCo.

Output
Space group ... F-43m, No. 216
Distance to the lowest polymorph of the same formula ... 0 meV per atom

abc: 4.5053 4.5053 4.5053
angles: 60.00 60.00 60.00
Positions (direct):
1 Co 0.2500 0.2500 0.2500
2 La 0.7500 0.7500 0.7500
3 U 0.0000 0.0000 0.0000

Record 2
VASP calculation (GGA-PBE) on a relaxed structure of LaZnCo2.

Output
Space group ... F-43m, No. 216
Raw total energy ... -4.80 eV/atom

abc: 4.6601 4.6601 4.6601
angles: 60.00 60.00 60.00
Site moments in Bohr magnetons follow the coordinates.
Positions (direct):
1 Co 0.0000 0.0000 0.0000  -1.47
2 Co 0.7500 0.7500 0.7500  -1.68
3 La 0.2500 0.2500 0.2500  0.10
4 Zn 0.5000 0.5000 0.5000  0.01

Record 3
VASP calculation (GGA-PBE) on a relaxed structure of LaZrCo.

Output
Space group ... F-43m, No. 216
Distance to the lowest polymorph of the same formula ... 318 meV per atom

abc: 4.5206 4.5206 4.5206
angles: 60.00 60.00 60.00
Positions (direct):
1 Co 0.2500 0.2500 0.2500
2 La 0.0000 0.0000 0.0000
3 Zr 0.7500 0.7500 0.7500

Record 4
VASP calculation (GGA-PBE) on a relaxed structure of LiCo2.

Output
Space group ... P4_2/mnm, No. 136
Raw total energy ... -3.82 eV/atom

abc: 4.7786 4.7786 3.2177
angles: 90.00 90.00 90.00
Positions (direct):
1 Co 0.2981 0.2981 0.0000
2 Co 0.7019 0.7019 0.0000
3 Co 0.7981 0.2019 0.5000
4 Co 0.2019 0.7981 0.5000
5 Li 0.0000 0.0000 0.0000
6 Li 0.5000 0.5000 0.5000

Record 5
VASP calculation (GGA-PBE) on a relaxed structure of Li3Co2.

Output
Space group ... R-3c, No. 167
Raw total energy ... -3.46 eV/atom

abc: 4.8114 4.8114 6.7747
angles: 110.80 69.20 120.00
Positions (direct):
1 Co 0.3088 0.6912 0.0736
2 Co 0.1912 0.8088 0.4264
3 Co 0.8088 0.1912 0.5736
4 Co 0.6912 0.3088 0.9264
5 Li 0.7536 0.2536 0.2500
6 Li 0.2500 0.2464 0.2500
7 Li 0.7464 0.7500 0.2500
8 Li 0.2536 0.2500 0.7500
9 Li 0.7500 0.7536 0.7500
10 Li 0.2464 0.7464 0.7500

Record 6
VASP calculation (GGA-PBE) on a relaxed structure of LiCo2.

Output
Space group ... P6_3/mmc, No. 194
Raw total energy ... -5.21 eV/atom

abc: 4.6913 4.6913 15.2626
angles: 90.00 90.00 120.00
Site moments in Bohr magnetons follow the coordinates.
Positions (direct):
1 Co 0.5000 0.0000 0.0000  1.65
2 Co 0.0000 0.5000 0.0000  1.31
3 Co 0.5000 0.5000 0.0000  1.80
4 Co 0.3333 0.6667 0.1286  1.59
5 Co 0.1608 0.3217 0.2500  1.60
6 Co 0.1608 0.8392 0.2500  1.74
7 Co 0.6783 0.8392 0.2500  1.29
8 Co 0.3333 0.6667 0.3714  1.59
9 Co 0.5000 0.0000 0.5000  1.64
10 Co 0.0000 0.5000 0.5000  1.31
11 Co 0.5000 0.5000 0.5000  1.81
12 Co 0.6667 0.3333 0.6286  1.59
13 Co 0.3217 0.1608 0.7500  1.29
14 Co 0.8392 0.1608 0.7500  1.74
15 Co 0.8392 0.6783 0.7500  1.60
16 Co 0.6667 0.3333 0.8714  1.59
17 Li 0.0000 0.0000 0.0930  -0.05
18 Li 0.6667 0.3333 0.1560  -0.06
19 Li 0.6667 0.3333 0.3440  -0.06
20 Li 0.0000 0.0000 0.4070  -0.05
21 Li 0.0000 0.0000 0.5930  -0.05
22 Li 0.3333 0.6667 0.6560  -0.06
23 Li 0.3333 0.6667 0.8440  -0.06
24 Li 0.0000 0.0000 0.9070  -0.05

Please write out number 2 again, unchanged.
VASP calculation (GGA-PBE) on a relaxed structure of LaZnCo2.

Output
Space group ... F-43m, No. 216
Raw total energy ... -4.80 eV/atom

abc: 4.6601 4.6601 4.6601
angles: 60.00 60.00 60.00
Site moments in Bohr magnetons follow the coordinates.
Positions (direct):
1 Co 0.0000 0.0000 0.0000  -1.47
2 Co 0.7500 0.7500 0.7500  -1.68
3 La 0.2500 0.2500 0.2500  0.10
4 Zn 0.5000 0.5000 0.5000  0.01